# K2MoS3

A geometry-optimized K2MoS3 structure (PBE, OQMD).

Structure (POSCAR):
```
K2MoS3
1.0
5.728 -4.242 0.000
5.728 4.242 0.000
0.000 0.000 6.689
S Mo K
6 2 4
Direct
0.629 0.629 0.000
0.865 0.135 0.250
0.629 0.629 0.500
0.371 0.371 0.000
0.371 0.371 0.500
0.135 0.865 0.750
0.397 0.603 0.750
0.603 0.397 0.250
0.003 0.664 0.250
0.997 0.336 0.750
0.336 0.997 0.250
0.664 0.003 0.750
```

Total magnetization in μB/atom: 0.000
Space group: Cmcm, No. 63
Final energy in eV per atom: -5.1225


# Be2FeTe

A geometry-optimized Be2FeTe structure (PBE, OQMD).

Structure (POSCAR):
```
Be2FeTe
1.0
0.000 2.934 2.934
2.934 0.000 2.934
2.934 2.934 0.000
Be Fe Te
2 1 1
Direct
0.750 0.750 0.750
0.000 0.000 0.000
0.250 0.250 0.250
0.500 0.500 0.500
```

Total magnetization in μB/atom: 0.000
Space group: F-43m, No. 216
Final energy in eV per atom: -4.0993


# NiCl2

A geometry-optimized NiCl2 structure (PBE, OQMD).

Structure (POSCAR):
```
NiCl2
1.0
-3.194 -0.848 0.819
-0.645 -2.686 -5.300
4.002 -10.436 4.803
Ni Cl
4 8
Direct
0.500 0.447 0.505
0.000 0.553 0.005
0.500 0.054 0.003
0.000 0.946 0.503
0.000 0.888 0.112
0.500 0.719 0.895
0.000 0.614 0.613
0.000 0.281 0.395
0.500 0.779 0.394
0.000 0.221 0.894
0.500 0.386 0.113
0.500 0.112 0.612
```

Total magnetization in μB/atom: 0.668
Space group: Pmn2_1, No. 31
Final energy in eV per atom: -3.6780